Entry 1:
VASP calculation (PBE) on crystalline ReGeIr at its relaxed geometry.

Lattice parameters (Å, degrees): 5.9405 5.9405 5.9405 90.00 90.00 90.00
With the nearest neighbours (Å) after each atom.
Space group F-43m (No. 216)
Symmetry-distinct sites (fractional):
1 Re 0.0000 0.0000 0.0000 (multiplicity 4)  4 Ge 2.57, 4 Ir 2.57
2 Ge 0.2500 0.2500 0.7500 (multiplicity 4)  4 Re 2.57
3 Ir 0.2500 0.2500 0.2500 (multiplicity 4)  4 Re 2.57

Output
ΔE to the lowest computed polymorph: 0.000 eV per atom

=====

Entry 2:
VASP calculation (PBE) on crystalline SmNi2SbPb at its relaxed geometry.

Lattice parameters (Å, degrees): 4.4199 4.4199 10.4536 90.00 90.00 90.00
With the nearest neighbours (Å) after each atom.
Space group P4/nmm (No. 129, origin choice 2)
Symmetry-distinct sites (fractional):
1 Sm 0.2500 0.2500 0.2287 (multiplicity 2)  8 Ni 3.26-3.40, 4 Sb 3.31, 4 Pb 3.60
2 Ni 0.2500 0.2500 0.6436 (multiplicity 2)  1 Sb 2.43, 4 Pb 2.67
3 Ni 0.2500 0.7500 0.0000 (multiplicity 2)  4 Sb 2.56
4 Sb 0.2500 0.2500 0.8763 (multiplicity 2)  5 Ni 2.43-2.56
5 Pb 0.2500 0.7500 0.5000 (multiplicity 2)  4 Ni 2.67

Output
E_tot: -5.203 eV per atom

=====

Entry 3:
VASP calculation (PBE) on crystalline TaBeCuGe at its relaxed geometry.

Lattice parameters (Å, degrees): 6.0463 6.0463 6.0463 90.00 90.00 90.00
With the nearest neighbours (Å) after each atom.
Space group F-43m (No. 216)
Symmetry-distinct sites (fractional):
1 Ta 0.0000 0.0000 0.0000 (multiplicity 4)  4 Ge 2.62, 4 Be 2.62
2 Be 0.2500 0.2500 0.7500 (multiplicity 4)  4 Ta 2.62, 4 Cu 2.62
3 Cu 0.0000 0.0000 0.5000 (multiplicity 4)  4 Ge 2.62, 4 Be 2.62
4 Ge 0.2500 0.2500 0.2500 (multiplicity 4)  4 Ta 2.62, 4 Cu 2.62

Output
ΔE to the lowest computed polymorph: 0.000 eV per atom

=====

Entry 4:
VASP calculation (PBE) on crystalline Ho3HgN at its relaxed geometry.

Lattice parameters (Å, degrees): 4.7626 4.7626 4.7626 90.00 90.00 90.00
With the nearest neighbours (Å) after each atom.
Space group Pm-3m (No. 221)
Symmetry-distinct sites (fractional):
1 Ho 0.0000 0.0000 0.5000 (multiplicity 3)  2 N 2.38
2 Hg 0.5000 0.5000 0.5000 (multiplicity 1)  12 Ho 3.37
3 N 0.0000 0.0000 0.0000 (multiplicity 1)  6 Ho 2.38

Output
E_tot: -5.410 eV per atom

=====

Entry 5:
VASP calculation (PBE) on crystalline La2In2Ni3Pt at its relaxed geometry.

Lattice parameters (Å, degrees): 4.5367 4.5367 9.2793 90.00 90.00 120.00
With the nearest neighbours (Å) after each atom.
Space group P3m1 (No. 156)
Symmetry-distinct sites (fractional):
1 La 0.0000 0.0000 0.0000 (multiplicity 1)  1 Ni 2.78, 1 Pt 3.06
2 La 0.3333 0.6667 0.5053 (multiplicity 1)  2 Ni 2.83-2.98, 3 Pt 3.09
3 In 0.6667 0.3333 0.2419 (multiplicity 1)  3 Ni 2.67, 3 Pt 2.74
4 In 0.6667 0.3333 0.7554 (multiplicity 1)  6 Ni 2.67
5 Ni 0.0000 0.0000 0.6999 (multiplicity 1)  3 In 2.67, 1 La 2.78, 3 Ni 2.81
6 Ni 0.3333 0.6667 0.1838 (multiplicity 1)  3 In 2.67, 3 Pt 2.95, 1 La 2.98
7 Ni 0.3333 0.6667 0.8107 (multiplicity 1)  3 In 2.67, 3 Ni 2.81, 1 La 2.83
8 Pt 0.0000 0.0000 0.3294 (multiplicity 1)  3 In 2.74, 3 Ni 2.95, 1 La 3.06

Output
E_tot: -5.276 eV per atom

=====

Entry 6:
VASP calculation (PBE) on crystalline TbYSi2Mo2C at its relaxed geometry.

Lattice parameters (Å, degrees): 11.1506 3.8223 7.1622 90.00 125.68 90.00
With the nearest neighbours (Å) after each atom.
Space group Cm (No. 8)
Symmetry-distinct sites (fractional):
1 Tb 0.0000 0.0000 0.0000 (multiplicity 2)  2 C 2.61
2 Y 0.3500 0.5000 0.4073 (multiplicity 2)  2 C 2.60
3 Si 0.0567 0.5000 0.3688 (multiplicity 2)  1 Si 2.47, 3 Mo 2.52-2.60
4 Si 0.2934 0.0000 0.0388 (multiplicity 2)  1 Si 2.47, 3 Mo 2.52-2.61
5 Mo 0.1310 0.5000 0.7875 (multiplicity 2)  1 C 2.01
6 Mo 0.2190 0.0000 0.6198 (multiplicity 2)  1 C 2.01
7 C 0.4250 0.0000 0.7036 (multiplicity 2)  2 Mo 2.01

Output
E_tot: -8.151 eV per atom

=====

Entry 7:
VASP calculation (PBE) on crystalline LuCd2Re at its relaxed geometry.

Lattice parameters (Å, degrees): 6.8451 6.8451 6.8451 90.00 90.00 90.00
With the nearest neighbours (Å) after each atom.
Space group F-43m (No. 216)
Symmetry-distinct sites (fractional):
1 Lu 0.0000 0.0000 0.0000 (multiplicity 4)  4 Cd 2.96, 4 Re 2.96
2 Cd 0.0000 0.0000 0.5000 (multiplicity 4)  4 Cd 2.96, 4 Re 2.96
3 Cd 0.2500 0.2500 0.2500 (multiplicity 4)  4 Cd 2.96, 4 Lu 2.96
4 Re 0.2500 0.2500 0.7500 (multiplicity 4)  4 Cd 2.96, 4 Lu 2.96

Output
energy of formation from the pure elements: 400 meV/atom

=====

Entry 8:
VASP calculation (PBE) on crystalline InSbW at its relaxed geometry.

Lattice parameters (Å, degrees): 6.6087 6.6087 6.6087 90.00 90.00 90.00
With the nearest neighbours (Å) after each atom.
Space group F-43m (No. 216)
Symmetry-distinct sites (fractional):
1 In 0.0000 0.0000 0.0000 (multiplicity 4)  4 Sb 2.86
2 Sb 0.2500 0.2500 0.2500 (multiplicity 4)  4 W 2.86, 4 In 2.86
3 W 0.0000 0.0000 0.5000 (multiplicity 4)  4 Sb 2.86

Output
E_tot: -5.452 eV per atom

=====

Entry 9:
VASP calculation (PBE) on crystalline RbAgOsSeS2 at its relaxed geometry.

Lattice parameters (Å, degrees): 3.7267 15.5482 9.9198 90.00 90.00 90.00
With the nearest neighbours (Å) after each atom.
Space group Cmcm (No. 63)
Symmetry-distinct sites (fractional):
1 Rb 0.0000 0.2419 0.2500 (multiplicity 4)  2 Se 3.47, 2 Ag 3.48, 6 S 3.63-3.70, 2 Rb 3.73
2 Ag 0.0000 0.4471 0.7500 (multiplicity 4)  2 S 2.41, 2 Se 2.67
3 Os 0.0000 0.0000 0.0000 (multiplicity 4)  4 S 2.42, 2 Se 2.71
4 Se 0.0000 0.0701 0.7500 (multiplicity 4)  2 Ag 2.67, 2 Os 2.71
5 S 0.0000 0.4009 0.5184 (multiplicity 8)  1 Ag 2.41, 2 Os 2.42

Output
E_tot: -4.637 eV per atom

=====

Entry 10:
VASP calculation (PBE) on crystalline Mg2GeIr at its relaxed geometry.

Lattice parameters (Å, degrees): 6.3543 6.3543 6.3543 90.00 90.00 90.00
With the nearest neighbours (Å) after each atom.
Space group F-43m (No. 216)
Symmetry-distinct sites (fractional):
1 Mg 0.0000 0.0000 0.0000 (multiplicity 4)  4 Ir 2.75, 4 Mg 2.75
2 Mg 0.2500 0.2500 0.2500 (multiplicity 4)  4 Ge 2.75, 4 Mg 2.75
3 Ge 0.0000 0.0000 0.5000 (multiplicity 4)  4 Mg 2.75, 4 Ir 2.75
4 Ir 0.2500 0.2500 0.7500 (multiplicity 4)  4 Ge 2.75, 4 Mg 2.75

Output
E_tot: -4.361 eV per atom

=====

Entry 11:
VASP calculation (PBE) on crystalline NbCoAs at its relaxed geometry.

Lattice parameters (Å, degrees): 6.3054 3.7560 7.1585 90.00 90.00 90.00
With the nearest neighbours (Å) after each atom.
Space group Pnma (No. 62)
Symmetry-distinct sites (fractional):
1 Nb 0.0244 0.2500 0.1718 (multiplicity 4)  5 As 2.64-2.70, 6 Co 2.89-2.91
2 Co 0.1497 0.2500 0.5629 (multiplicity 4)  4 As 2.34-2.40
3 As 0.2214 0.7500 0.3780 (multiplicity 4)  4 Co 2.34-2.40

Output
E_tot: -7.809 eV per atom

=====

Entry 12:
VASP calculation (PBE) on crystalline K2CuHgF6 at its relaxed geometry.

Lattice parameters (Å, degrees): 11.5449 5.5612 4.6187 90.00 95.01 90.00
With the nearest neighbours (Å) after each atom.
Space group C2/m (No. 12)
Symmetry-distinct sites (fractional):
1 K 0.2311 0.0000 0.2179 (multiplicity 4)  5 F 2.51-2.68
2 Cu 0.0000 0.5000 0.0000 (multiplicity 2)  6 F 1.97-2.06
3 Hg 0.0000 0.0000 0.5000 (multiplicity 2)  4 F 2.17
4 F 0.0943 0.2357 0.8140 (multiplicity 8)  1 Cu 2.06, 1 Hg 2.17
5 F 0.1397 0.5000 0.2782 (multiplicity 4)  1 Cu 1.97

Output
ΔE to the lowest computed polymorph: 0.156 eV per atom

=====

Entry 13:
VASP calculation (PBE) on crystalline LuHgSO at its relaxed geometry.

Lattice parameters (Å, degrees): 7.9135 8.5506 5.2208 90.00 90.00 90.00
With the nearest neighbours (Å) after each atom.
Space group Pca2_1 (No. 29)
Symmetry-distinct sites (fractional):
1 Lu 0.0714 0.1661 0.0000 (multiplicity 4)  1 O 1.97
2 Hg 0.1612 0.6138 0.9143 (multiplicity 4)  2 O 2.26-2.47
3 S 0.1005 0.1081 0.5017 (multiplicity 4)  4 Lu 2.64-2.71
4 O 0.0306 0.3921 0.0419 (multiplicity 4)  1 Lu 1.97

Output
ΔE to the lowest computed polymorph: 0.482 eV per atom

=====

Entry 14:
VASP calculation (PBE) on crystalline YCdFeAs at its relaxed geometry.

Lattice parameters (Å, degrees): 6.8332 6.8332 6.8332 90.00 90.00 90.00
With the nearest neighbours (Å) after each atom.
Space group F-43m (No. 216)
Symmetry-distinct sites (fractional):
1 Y 0.0000 0.0000 0.0000 (multiplicity 4)  4 Cd 2.96, 4 Fe 2.96
2 Cd 0.2500 0.2500 0.2500 (multiplicity 4)  4 As 2.96, 4 Y 2.96
3 Fe 0.2500 0.2500 0.7500 (multiplicity 4)  4 As 2.96, 4 Y 2.96
4 As 0.0000 0.0000 0.5000 (multiplicity 4)  4 Fe 2.96, 4 Cd 2.96

Output
ΔE to the lowest computed polymorph: 0.225 eV per atom

=====

Entry 15:
VASP calculation (PBE) on crystalline Cu5Ag4 at its relaxed geometry.

Lattice parameters (Å, degrees): 2.8032 2.8032 33.1364 90.00 90.00 90.00
With the nearest neighbours (Å) after each atom.
Space group I4mm (No. 107)
Symmetry-distinct sites (fractional):
1 Cu 0.0000 0.0000 0.0000 (multiplicity 2)  8 Cu 2.50-2.80, 4 Ag 2.74
2 Cu 0.0000 0.0000 0.0924 (multiplicity 2)  8 Cu 2.50-2.80, 4 Ag 2.74
3 Cu 0.0000 0.0000 0.3391 (multiplicity 2)  8 Cu 2.51-2.80, 4 Ag 2.74
4 Cu 0.0000 0.0000 0.5462 (multiplicity 2)  12 Cu 2.50-2.80
5 Cu 0.0000 0.0000 0.8855 (multiplicity 2)  8 Cu 2.51-2.80, 4 Ag 2.75
6 Ag 0.0000 0.0000 0.2158 (multiplicity 2)  12 Ag 2.80-2.96
7 Ag 0.0000 0.0000 0.4429 (multiplicity 2)  8 Cu 2.74-2.75, 4 Ag 2.80
8 Ag 0.0000 0.0000 0.6494 (multiplicity 2)  4 Cu 2.74, 8 Ag 2.80-2.96
9 Ag 0.0000 0.0000 0.7821 (multiplicity 2)  4 Cu 2.74, 8 Ag 2.80-2.96

Output
energy of formation from the pure elements: 61 meV/atom
ΔE to the lowest computed polymorph: 0.021 eV per atom

=====

Entry 16:
VASP calculation (PBE) on crystalline Tb2Pr2O5 at its relaxed geometry.

Lattice parameters (Å, degrees): 4.1335 4.1335 9.0702 90.00 90.00 90.00
With the nearest neighbours (Å) after each atom.
Space group P4/mmm (No. 123)
Symmetry-distinct sites (fractional):
1 Tb 0.0000 0.0000 0.0000 (multiplicity 1)  8 O 2.43
2 Tb 0.0000 0.0000 0.5000 (multiplicity 1)  4 O 2.92
3 Pr 0.5000 0.5000 0.2413 (multiplicity 2)  5 O 2.26-2.35
4 O 0.0000 0.5000 0.1408 (multiplicity 4)  2 Pr 2.26, 2 Tb 2.43
5 O 0.5000 0.5000 0.5000 (multiplicity 1)  2 Pr 2.35

Output
ΔE to the lowest computed polymorph: 0.065 eV per atom

=====

Entry 17:
VASP calculation (PBE) on crystalline Li4AlPPd2 at its relaxed geometry.

Lattice parameters (Å, degrees): 4.2120 4.2120 6.0114 90.00 90.00 90.00
With the nearest neighbours (Å) after each atom.
Space group P-4m2 (No. 115)
Symmetry-distinct sites (fractional):
1 Li 0.0000 0.0000 0.0000 (multiplicity 1)  4 Li 2.53, 4 Pd 2.56
2 Li 0.0000 0.5000 0.2336 (multiplicity 2)  2 P 2.53, 4 Li 2.53-2.65, 2 Al 2.65
3 Li 0.5000 0.5000 0.5000 (multiplicity 1)  4 Pd 2.62, 4 Li 2.65
4 Al 0.0000 0.0000 0.5000 (multiplicity 1)  4 Pd 2.62, 4 Li 2.65
5 P 0.5000 0.5000 0.0000 (multiplicity 1)  4 Li 2.53, 4 Pd 2.56
6 Pd 0.0000 0.5000 0.7583 (multiplicity 2)  2 P 2.56, 5 Li 2.56-2.86, 2 Al 2.62

Output
E_tot: -3.976 eV per atom

=====

Entry 18:
VASP calculation (PBE) on crystalline Ho2ErMg3AlGa2 at its relaxed geometry.

Lattice parameters (Å, degrees): 4.4854 12.5288 7.2459 90.00 90.00 90.00
With the nearest neighbours (Å) after each atom.
Space group Amm2 (No. 38)
Symmetry-distinct sites (fractional):
1 Ho 0.0000 0.2176 0.0000 (multiplicity 4)  4 Ga 3.10, 1 Al 3.15, 2 Mg 3.23
2 Er 0.0000 0.0000 0.3473 (multiplicity 2)  4 Ga 3.10, 1 Al 3.15, 2 Mg 3.23
3 Mg 0.5000 0.0000 0.0266 (multiplicity 2)  2 Ga 2.79, 2 Al 2.86, 2 Mg 3.06
4 Mg 0.5000 0.1221 0.6601 (multiplicity 4)  2 Ga 2.79, 2 Al 2.85, 2 Mg 3.06
5 Al 0.0000 0.0000 0.7815 (multiplicity 2)  6 Mg 2.85-2.86, 1 Er 3.15, 2 Ho 3.15
6 Ga 0.5000 0.1663 0.2824 (multiplicity 4)  3 Mg 2.79, 2 Er 3.10, 4 Ho 3.10

Output
E_tot: -3.559 eV per atom

=====

Entry 19:
VASP calculation (PBE) on crystalline RbHfTe3Au at its relaxed geometry.

Lattice parameters (Å, degrees): 13.7366 4.3816 13.4083 90.00 90.00 90.00
With the nearest neighbours (Å) after each atom.
Space group Pnma (No. 62)
Symmetry-distinct sites (fractional):
1 Rb 0.2007 0.2500 0.0648 (multiplicity 4)  7 Te 3.68-3.89, 3 Au 3.77-4.06
2 Hf 0.0374 0.2500 0.3418 (multiplicity 4)  2 Au 2.95, 6 Te 2.96-3.15
3 Te 0.0035 0.7500 0.1880 (multiplicity 4)  1 Au 2.70
4 Te 0.0746 0.2500 0.5633 (multiplicity 4)  3 Hf 2.96-3.01
5 Te 0.2331 0.7500 0.8467 (multiplicity 4)  2 Au 2.65
6 Au 0.1724 0.7500 0.2915 (multiplicity 4)  3 Te 2.65-2.70, 2 Hf 2.95

Output
E_tot: -4.579 eV per atom

=====

Entry 20:
VASP calculation (PBE) on crystalline LiAsPt2 at its relaxed geometry.

Lattice parameters (Å, degrees): 6.2754 6.2754 6.2754 90.00 90.00 90.00
With the nearest neighbours (Å) after each atom.
Space group F-43m (No. 216)
Symmetry-distinct sites (fractional):
1 Li 0.0000 0.0000 0.0000 (multiplicity 4)  4 Pt 2.72, 4 As 2.72
2 As 0.2500 0.2500 0.7500 (multiplicity 4)  4 Li 2.72, 4 Pt 2.72
3 Pt 0.0000 0.0000 0.5000 (multiplicity 4)  4 As 2.72, 4 Pt 2.72
4 Pt 0.2500 0.2500 0.2500 (multiplicity 4)  4 Pt 2.72, 4 Li 2.72

Output
E_tot: -4.922 eV per atom

=====

Entry 21:
VASP calculation (PBE) on crystalline NaPuSi at its relaxed geometry.

Lattice parameters (Å, degrees): 6.8173 6.8173 6.8173 90.00 90.00 90.00
With the nearest neighbours (Å) after each atom.
Space group F-43m (No. 216)
Symmetry-distinct sites (fractional):
1 Na 0.0000 0.0000 0.0000 (multiplicity 4)  4 Pu 2.95
2 Pu 0.2500 0.2500 0.7500 (multiplicity 4)  4 Na 2.95, 4 Si 2.95
3 Si 0.0000 0.0000 0.5000 (multiplicity 4)  4 Pu 2.95

Output
E_tot: -6.435 eV per atom

=====

Entry 22:
VASP calculation (PBE) on crystalline AgBTe2 at its relaxed geometry.

Lattice parameters (Å, degrees): 7.0659 7.0659 7.0659 90.00 90.00 90.00
With the nearest neighbours (Å) after each atom.
Space group F-43m (No. 216)
Symmetry-distinct sites (fractional):
1 Ag 0.0000 0.0000 0.0000 (multiplicity 4)  4 Te 3.06, 4 B 3.06
2 B 0.2500 0.2500 0.2500 (multiplicity 4)  4 Te 3.06, 4 Ag 3.06
3 Te 0.0000 0.0000 0.5000 (multiplicity 4)  4 B 3.06, 4 Te 3.06
4 Te 0.2500 0.2500 0.7500 (multiplicity 4)  4 Te 3.06, 4 Ag 3.06

Output
E_tot: -2.751 eV per atom

=====

Entry 23:
VASP calculation (PBE) on crystalline LiGdAs at its relaxed geometry.

Lattice parameters (Å, degrees): 6.6735 6.6735 6.6735 90.00 90.00 90.00
With the nearest neighbours (Å) after each atom.
Space group F-43m (No. 216)
Symmetry-distinct sites (fractional):
1 Li 0.0000 0.0000 0.0000 (multiplicity 4)  4 Gd 2.89
2 Gd 0.2500 0.2500 0.7500 (multiplicity 4)  4 As 2.89, 4 Li 2.89
3 As 0.0000 0.0000 0.5000 (multiplicity 4)  4 Gd 2.89

Output
ΔE to the lowest computed polymorph: 0.457 eV per atom